VASP calculation (PBE-GGA) on a geometry-optimized ScAgW2 structure.

Cell lengths 7.6870, 7.6870, 5.2048 Å; angles 90.00, 90.00, 90.00 degrees
With the nearest neighbours (Å) after each atom.
Atoms (fractional coordinates):
Sc: 0.0000 0.0000 0.0000  2 Ag 2.60
Sc: 0.0000 0.5000 0.2500  2 Ag 2.60
Sc: 0.5000 0.0000 0.7500  2 Ag 2.60
Sc: 0.5000 0.5000 0.5000  2 Ag 2.60
Ag: 0.0000 0.0000 0.5000  2 Sc 2.60, 4 W 2.67
Ag: 0.0000 0.5000 0.7500  2 Sc 2.60, 4 W 2.67
Ag: 0.5000 0.0000 0.2500  2 Sc 2.60, 4 W 2.67
Ag: 0.5000 0.5000 0.0000  2 Sc 2.60, 4 W 2.67
W: 0.2263 0.2500 0.6250  2 W 2.63, 2 Ag 2.67, 2 Sc 2.92
W: 0.2500 0.7263 0.8750  2 W 2.63, 2 Ag 2.67, 2 Sc 2.92
W: 0.2500 0.7737 0.3750  2 W 2.63, 2 Ag 2.67, 2 Sc 2.92
W: 0.2737 0.2500 0.1250  2 W 2.63, 2 Ag 2.67, 2 Sc 2.92
W: 0.7263 0.7500 0.1250  2 W 2.63, 2 Ag 2.67, 2 Sc 2.92
W: 0.7500 0.2263 0.3750  2 W 2.63, 2 Ag 2.67, 2 Sc 2.92
W: 0.7500 0.2737 0.8750  2 W 2.63, 2 Ag 2.67, 2 Sc 2.92
W: 0.7737 0.7500 0.6250  2 W 2.63, 2 Ag 2.67, 2 Sc 2.92

Values from the calculation:
As for the total moment: 0.00 μB per formula unit. The value obtained for the distance to the lowest polymorph of the same formula is 849 meV/atom. The space-group type is I-42d (122).



VASP calculation (PBE-GGA) on a geometry-optimized ScAgW2 structure.

Cell lengths 3.8634, 3.8634, 4.6843 Å; angles 90.00, 90.00, 90.00 degrees
With the nearest neighbours (Å) after each atom.
Atoms (fractional coordinates):
Sc: 0.0000 0.0000 0.0000  4 Ag 2.73, 8 W 3.04
Ag: 0.5000 0.5000 0.0000  4 Sc 2.73, 8 W 3.04
W: 0.0000 0.5000 0.5000  4 W 2.73, 4 Sc 3.04, 4 Ag 3.04
W: 0.5000 0.0000 0.5000  4 W 2.73, 4 Sc 3.04, 4 Ag 3.04

Values from the calculation:
As for the total moment: 0.00 μB per formula unit. The value obtained for the distance to the lowest polymorph of the same formula is 126 meV/atom. The space-group type is P4/mmm (123).



VASP calculation (PBE-GGA) on a geometry-optimized ScAgW2 structure.

Cell lengths 3.5108, 4.7033, 8.6620 Å; angles 90.00, 90.00, 90.00 degrees
With the nearest neighbours (Å) after each atom.
Atoms (fractional coordinates):
Sc: 0.0000 0.0000 0.0000  8 W 2.86-3.13, 4 Ag 2.87-3.13
Sc: 0.5000 0.5000 0.5000  8 W 2.86-3.13, 4 Ag 2.87-3.13
Ag: 0.0000 0.5000 0.2378  4 Sc 2.87-3.13, 8 W 2.89-3.11
Ag: 0.5000 0.0000 0.7378  4 Sc 2.87-3.13, 8 W 2.89-3.11
W: 0.0000 0.0000 0.4731  2 W 2.54
W: 0.0000 0.5000 0.7610  2 W 2.54
W: 0.5000 0.0000 0.2610  2 W 2.54
W: 0.5000 0.5000 0.9731  2 W 2.54

Values from the calculation:
As for the total moment: 0.00 μB per formula unit. The value obtained for the distance to the lowest polymorph of the same formula is 185 meV/atom. The space-group type is Imm2 (44).



Summary of formation energy in meV/atom
1083 360 419
(order as listed above)